No. 1
Density functional theory data (PBE-GGA) for a relaxed DyAlSe crystal.

Properties
V in Å³/atom: 23.1
Space group: No. 129
Formation energy without anion corrections in eV/atom: -1.025
D(E_F) in states/eV/f.u.: 1.5

a b c (Å): 3.9799 3.9799 8.7628
angles (deg): 90.00 90.00 90.00
Last column: nearest neighbours and their distance in Å.
Fractional positions:
Dy1 0.2500 0.2500 0.2002  5 Se 2.86-2.99
Dy2 0.7500 0.7500 0.7998  5 Se 2.86-2.99
Al1 0.2500 0.7500 0.5000  4 Al 2.81
Al2 0.7500 0.2500 0.5000  4 Al 2.81
Se1 0.2500 0.2500 0.8596  5 Dy 2.86-2.99
Se2 0.7500 0.7500 0.1404  5 Dy 2.86-2.99

=====

No. 2
Density functional theory data (PBE-GGA) for a relaxed DyAl2Se4 crystal.

Properties
V in Å³/atom: 27.7
Space group: No. 87
Formation energy without anion corrections in eV/atom: -0.901
D(E_F) in states/eV/f.u.: 2.1

a b c (Å): 6.3704 6.3704 6.3704
angles (deg): 104.54 104.54 119.85
Last column: nearest neighbours and their distance in Å.
Fractional positions:
Dy1 0.0000 0.0000 0.0000  4 Se 2.92
Al1 0.2500 0.7500 0.5000  4 Se 2.43
Al2 0.7500 0.2500 0.5000  4 Se 2.43
Se1 0.1675 0.3344 0.5019  2 Al 2.43
Se2 0.3344 0.8325 0.1668  2 Al 2.43
Se3 0.6656 0.1675 0.8332  2 Al 2.43
Se4 0.8325 0.6656 0.4981  2 Al 2.43

=====

No. 3
Density functional theory data (PBE-GGA) for a relaxed Dy6AlSe4 crystal.

Properties
V in Å³/atom: 25.3
Space group: No. 63
Formation energy without anion corrections in eV/atom: -1.349
D(E_F) in states/eV/f.u.: 8.7

a b c (Å): 6.9988 6.9988 20.7659
angles (deg): 90.00 90.00 146.77
Last column: nearest neighbours and their distance in Å.
Fractional positions:
Dy1 0.0000 0.0000 0.0000  6 Se 2.80-2.88
Dy2 0.0000 0.0000 0.5000  6 Se 2.80-2.88
Dy3 0.1587 0.8413 0.7500  2 Se 2.81, 2 Al 3.01
Dy4 0.2694 0.7306 0.0975  5 Se 2.86-3.03
Dy5 0.2694 0.7306 0.4025  5 Se 2.86-3.03
Dy6 0.4450 0.5550 0.6657  3 Se 2.87-2.92, 2 Al 3.10
Dy7 0.4450 0.5550 0.8343  3 Se 2.87-2.92, 2 Al 3.10
Dy8 0.5550 0.4450 0.1657  3 Se 2.87-2.92, 2 Al 3.10
Dy9 0.5550 0.4450 0.3343  3 Se 2.87-2.92, 2 Al 3.10
Dy10 0.7306 0.2694 0.5975  5 Se 2.86-3.03
Dy11 0.7306 0.2694 0.9025  5 Se 2.86-3.03
Dy12 0.8413 0.1587 0.2500  2 Se 2.81, 2 Al 3.01
Al1 0.1737 0.8263 0.2500  6 Dy 3.01-3.10
Al2 0.8263 0.1737 0.7500  6 Dy 3.01-3.10
Se1 0.0840 0.9160 0.6236  6 Dy 2.80-2.87
Se2 0.0840 0.9160 0.8764  6 Dy 2.80-2.87
Se3 0.3572 0.6428 0.5370  6 Dy 2.88-3.03
Se4 0.3572 0.6428 0.9630  6 Dy 2.88-3.03
Se5 0.6428 0.3572 0.0370  6 Dy 2.88-3.03
Se6 0.6428 0.3572 0.4630  6 Dy 2.88-3.03
Se7 0.9160 0.0840 0.1236  6 Dy 2.80-2.87
Se8 0.9160 0.0840 0.3764  6 Dy 2.80-2.87

=====

No. 4
Density functional theory data (PBE-GGA) for a relaxed Dy2AlSe crystal.

Properties
V in Å³/atom: 24.6
Space group: No. 63
Formation energy without anion corrections in eV/atom: -1.119
ΔE to the lowest computed polymorph in eV/atom: 0.0000
D(E_F) in states/eV/f.u.: 1.7

a b c (Å): 11.4775 11.4775 4.0711
angles (deg): 90.00 90.00 158.49
Last column: nearest neighbours and their distance in Å.
Fractional positions:
Dy1 0.0672 0.9328 0.7500  1 Se 2.84, 4 Al 3.02
Dy2 0.3208 0.6792 0.7500  5 Se 2.88-2.97, 1 Al 3.17
Dy3 0.6792 0.3208 0.2500  5 Se 2.88-2.97, 1 Al 3.17
Dy4 0.9328 0.0672 0.2500  1 Se 2.84, 4 Al 3.02
Al1 0.4612 0.5388 0.7500  2 Al 2.68
Al2 0.5388 0.4612 0.2500  2 Al 2.68
Se1 0.1933 0.8067 0.7500  6 Dy 2.84-2.97
Se2 0.8067 0.1933 0.2500  6 Dy 2.84-2.97

=====

No. 5
Density functional theory data (PBE-GGA) for a relaxed DyAlSe3 crystal.

Properties
V in Å³/atom: 31.6
Space group: No. 40
Formation energy without anion corrections in eV/atom: -1.357
ΔE to the lowest computed polymorph in eV/atom: 0.0000
D(E_F) in states/eV/f.u.: 0.0

a b c (Å): 4.0246 12.2472 12.2472
angles (deg): 148.45 90.00 90.00
Last column: nearest neighbours and their distance in Å.
Fractional positions:
Dy1 0.2500 0.1742 0.8258  6 Se 2.80-2.92
Dy2 0.7500 0.8258 0.1742  6 Se 2.80-2.92
Al1 0.2500 0.3013 0.5560  4 Se 2.37-2.47
Al2 0.7500 0.5560 0.3013  4 Se 2.37-2.47
Se1 0.2500 0.0475 0.4891  1 Al 2.45
Se2 0.2500 0.3696 0.2060  2 Al 2.47
Se3 0.2500 0.6647 0.9025  1 Al 2.37
Se4 0.7500 0.2060 0.3696  2 Al 2.47
Se5 0.7500 0.4891 0.0475  1 Al 2.45
Se6 0.7500 0.9025 0.6647  1 Al 2.37

=====

No. 6
Density functional theory data (PBE-GGA) for a relaxed DyAlSe3 crystal.

Properties
V in Å³/atom: 24.7
Space group: No. 12
Formation energy without anion corrections in eV/atom: -1.277
ΔE to the lowest computed polymorph in eV/atom: 0.0797

a b c (Å): 7.8450 7.8450 4.2564
angles (deg): 90.55 90.55 70.34
Last column: nearest neighbours and their distance in Å.
Fractional positions:
Dy1 0.2370 0.2370 0.2616  8 Se 2.92-3.16
Dy2 0.7630 0.7630 0.7384  8 Se 2.92-3.16
Al1 0.3072 0.6928 0.5000  4 Se 2.38-2.45
Al2 0.6928 0.3072 0.5000  4 Se 2.38-2.45
Se1 0.0482 0.6611 0.2447  1 Al 2.38
Se2 0.3389 0.9518 0.7553  1 Al 2.38
Se3 0.3968 0.3968 0.7566  2 Al 2.45
Se4 0.6032 0.6032 0.2434  2 Al 2.45
Se5 0.6611 0.0482 0.2447  1 Al 2.38
Se6 0.9518 0.3389 0.7553  1 Al 2.38

=====

No. 7
Density functional theory data (PBE-GGA) for a relaxed Dy2AlSe crystal.

Properties
V in Å³/atom: 25.2
Space group: No. 160
Formation energy without anion corrections in eV/atom: -0.946
ΔE to the lowest computed polymorph in eV/atom: 0.1725
D(E_F) in states/eV/f.u.: 1.8

a b c (Å): 8.3983 8.3983 8.3983
angles (deg): 26.09 26.09 26.09
Last column: nearest neighbours and their distance in Å.
Fractional positions:
Dy1 0.0000 0.0000 0.0000  3 Se 2.91, 3 Al 3.03
Dy2 0.1600 0.1600 0.1600  3 Se 2.94, 3 Al 3.05
Al1 0.5806 0.5806 0.5806  6 Dy 3.03-3.05
Se1 0.4124 0.4124 0.4124  6 Dy 2.91-2.94

=====

No. 8
Density functional theory data (PBE-GGA) for a relaxed Dy8AlSe6 crystal.

Properties
V in Å³/atom: 25.7
Space group: No. 147
Formation energy without anion corrections in eV/atom: -1.270
D(E_F) in states/eV/f.u.: 11.0

a b c (Å): 10.5349 10.5349 4.0177
angles (deg): 90.00 90.00 120.00
Last column: nearest neighbours and their distance in Å.
Fractional positions:
Dy1 0.0339 0.7204 0.2499  3 Se 2.80-2.90
Dy2 0.2796 0.3134 0.2499  3 Se 2.80-2.90
Dy3 0.3134 0.0339 0.7501  3 Se 2.80-2.90
Dy4 0.3333 0.6667 0.7499  6 Se 2.86-2.87
Dy5 0.6667 0.3333 0.2501  6 Se 2.86-2.87
Dy6 0.6866 0.9661 0.2499  3 Se 2.80-2.90
Dy7 0.7204 0.6866 0.7501  3 Se 2.80-2.90
Dy8 0.9661 0.2796 0.7501  3 Se 2.80-2.90
Al1 0.0000 0.0000 0.5000  6 Dy 3.30
Se1 0.1305 0.4823 0.2524  5 Dy 2.80-2.90
Se2 0.3518 0.8695 0.2524  5 Dy 2.80-2.90
Se3 0.4823 0.3518 0.7476  5 Dy 2.80-2.90
Se4 0.5177 0.6482 0.2524  5 Dy 2.80-2.90
Se5 0.6482 0.1305 0.7476  5 Dy 2.80-2.90
Se6 0.8695 0.5177 0.7476  5 Dy 2.80-2.90

=====

No. 9
Density functional theory data (PBE-GGA) for a relaxed SrDyAlSe4 crystal.

Properties
V in Å³/atom: 27.3
Space group: No. 11
Formation energy without anion corrections in eV/atom: -1.541

a b c (Å): 6.8088 7.0156 8.3526
angles (deg): 90.00 106.94 90.00
Last column: nearest neighbours and their distance in Å.
Fractional positions:
Sr1 0.2399 0.2500 0.0578  6 Se 3.02-3.28
Sr2 0.7601 0.7500 0.9422  6 Se 3.02-3.28
Dy1 0.2244 0.2500 0.5550  6 Se 2.87-2.98
Dy2 0.7756 0.7500 0.4450  6 Se 2.87-2.98
Al1 0.2406 0.7500 0.3217  4 Se 2.35-2.40
Al2 0.7594 0.2500 0.6783  4 Se 2.35-2.40
Se1 0.0044 0.5059 0.7295  1 Al 2.40
Se2 0.0044 0.9941 0.7295  1 Al 2.40
Se3 0.4401 0.7500 0.1337  1 Al 2.36
Se4 0.4510 0.7500 0.6000  1 Al 2.35
Se5 0.5490 0.2500 0.4000  1 Al 2.35
Se6 0.5599 0.2500 0.8663  1 Al 2.36
Se7 0.9956 0.0059 0.2705  1 Al 2.40
Se8 0.9956 0.4941 0.2705  1 Al 2.40

=====

No. 10
Density functional theory data (PBE-GGA) for a relaxed Dy6AlTe3Se2 crystal.

Properties
V in Å³/atom: 27.2
Space group: No. 12
Formation energy without anion corrections in eV/atom: -1.296
D(E_F) in states/eV/f.u.: 4.9

a b c (Å): 9.5938 9.5938 8.6852
angles (deg): 104.65 104.65 24.99
Last column: nearest neighbours and their distance in Å.
Fractional positions:
Dy1 0.0045 0.0045 0.2379  2 Al 2.91, 1 Se 2.96, 3 Te 3.10-3.15
Dy2 0.3274 0.3274 0.4341  3 Se 2.88, 3 Te 3.11-3.14
Dy3 0.3410 0.3410 0.9049  1 Al 2.88, 2 Se 2.91, 3 Te 3.12-3.14
Dy4 0.6590 0.6590 0.0951  1 Al 2.88, 2 Se 2.91, 3 Te 3.12-3.14
Dy5 0.6726 0.6726 0.5659  3 Se 2.88, 3 Te 3.11-3.14
Dy6 0.9955 0.9955 0.7621  2 Al 2.91, 1 Se 2.96, 3 Te 3.10-3.15
Al1 0.5000 0.5000 0.0000  6 Dy 2.88-2.91
Te1 0.1690 0.1690 0.8300  6 Dy 3.11-3.15
Te2 0.5000 0.5000 0.5000  6 Dy 3.10-3.14
Te3 0.8310 0.8310 0.1700  6 Dy 3.11-3.15
Se1 0.1681 0.1681 0.3340  6 Dy 2.88-2.96
Se2 0.8319 0.8319 0.6660  6 Dy 2.88-2.96

=====

No. 11
Density functional theory data (PBE-GGA) for a relaxed Dy4AlTeSe2 crystal.

Properties
V in Å³/atom: 26.2
Space group: No. 10
Formation energy without anion corrections in eV/atom: -1.265
D(E_F) in states/eV/f.u.: 3.1

a b c (Å): 7.3399 4.0675 7.3961
angles (deg): 90.00 108.28 90.00
Last column: nearest neighbours and their distance in Å.
Fractional positions:
Dy1 0.2389 0.0000 0.2291  3 Se 2.87-3.05, 1 Al 2.93, 2 Te 3.07
Dy2 0.2442 0.5000 0.7552  3 Se 2.92-2.96, 2 Al 2.97, 1 Te 3.05
Dy3 0.7558 0.5000 0.2448  3 Se 2.92-2.96, 2 Al 2.97, 1 Te 3.05
Dy4 0.7611 0.0000 0.7709  3 Se 2.87-3.05, 1 Al 2.93, 2 Te 3.07
Al1 0.5000 0.0000 0.0000  6 Dy 2.93-2.97
Te1 0.5000 0.5000 0.5000  6 Dy 3.05-3.07
Se1 0.0000 0.0000 0.5000  6 Dy 2.96-3.05
Se2 0.0000 0.5000 0.0000  6 Dy 2.87-2.92

=====

No. 12
Density functional theory data (PBE-GGA) for a relaxed Dy2AlTl3Se6 crystal.

Properties
V in Å³/atom: 28.0
Space group: No. 12
Formation energy without anion corrections in eV/atom: -1.112

a b c (Å): 7.0638 7.0638 8.1079
angles (deg): 98.39 98.39 119.79
Last column: nearest neighbours and their distance in Å.
Fractional positions:
Dy1 0.1658 0.8342 0.0000  6 Se 2.88-2.89
Dy2 0.8342 0.1658 0.0000  6 Se 2.88-2.89
Al1 0.5000 0.5000 0.0000  6 Se 2.62-2.69
Tl1 0.0000 0.0000 0.5000  6 Se 3.29-3.43
Tl2 0.3262 0.6738 0.5000  6 Se 3.30-3.44
Tl3 0.6738 0.3262 0.5000  6 Se 3.30-3.44
Se1 0.1302 0.4361 0.8084  1 Al 2.62, 2 Dy 2.88
Se2 0.2575 0.2575 0.2016  1 Al 2.69, 2 Dy 2.89
Se3 0.4361 0.1302 0.8084  1 Al 2.62, 2 Dy 2.88
Se4 0.5639 0.8698 0.1916  1 Al 2.62, 2 Dy 2.88
Se5 0.7425 0.7425 0.7984  1 Al 2.69, 2 Dy 2.89
Se6 0.8698 0.5639 0.1916  1 Al 2.62, 2 Dy 2.88